No. 1
DFT (PBE) results for Cs2IBr after structural relaxation.

a = 8.5302 Å, b = 8.5302 Å, c = 16.5631 Å
α = 90.00°, β = 90.00°, γ = 90.00°
Last column: nearest neighbours and their distance in Å.
Space group I-42d (No. 122)
Asymmetric unit:
Cs: 0.2267 0.2500 0.1250 x8  2 Br 3.55, 2 I 3.78
I: 0.0000 0.0000 0.5000 x4  4 Cs 3.78
Br: 0.0000 0.0000 0.0000 x4  4 Cs 3.55



No. 2
DFT (PBE) results for Be3Co5 after structural relaxation.

a = 5.3340 Å, b = 7.5369 Å, c = 3.7566 Å
α = 90.00°, β = 90.00°, γ = 90.00°
Last column: nearest neighbours and their distance in Å.
Space group Cmmm (No. 65)
Asymmetric unit:
Be: 0.0000 0.0000 0.0000 x2  8 Co 2.26-2.31
Be: 0.0000 0.2576 0.5000 x4  8 Co 2.30-2.31
Co: 0.0000 0.5000 0.0000 x2  8 Co 2.31-2.35
Co: 0.2353 0.0000 0.5000 x4  6 Be 2.26-2.31, 3 Co 2.35-2.51
Co: 0.2500 0.2500 0.0000 x4  6 Be 2.30-2.31, 2 Co 2.31

Summary:
formation enthalpy at 0 K = -171 meV/atom



Results for raw total energy: -2.81 -6.01 (in eV per atom, following the order of the records).